# 1
First-principles (SCAN) data for Zr2TaHgMo at its PBEsol-relaxed geometry, as listed in Alexandria via LeMat-Bulk.

a b c (Å): 4.8832 5.0579 5.0579
angles (deg): 90.00 90.00 90.00
Closest atoms and distances in Å follow each position.
Positions (direct):
Zr: 0.0000 0.5000 0.0000  2 Hg 2.53
Ta: 0.5000 0.5000 0.5000  8 Zr 3.52, 4 Mo 3.58
Mo: 0.5000 0.0000 0.0000  2 Hg 2.44
Zr: 0.0000 0.0000 0.5000  2 Hg 2.53
Hg: 0.0000 0.0000 0.0000  2 Mo 2.44, 4 Zr 2.53

crystal system	tetragonal


# 2
First-principles (SCAN) data for TcHg2Mo at its PBEsol-relaxed geometry, as listed in Alexandria via LeMat-Bulk.

a b c (Å): 2.7595 2.7595 9.2792
angles (deg): 90.00 90.00 104.57
Closest atoms and distances in Å follow each position.
Positions (direct):
Hg: 0.0000 0.0000 0.2482  4 Hg 2.76, 2 Tc 2.86, 2 Mo 2.88
Tc: 0.5000 0.5000 0.0000  4 Tc 2.76, 4 Hg 2.86
Mo: 0.5000 0.5000 0.5000  4 Mo 2.76, 4 Hg 2.88
Hg: 0.0000 0.0000 0.7518  4 Hg 2.76, 2 Tc 2.86, 2 Mo 2.88

crystal system	orthorhombic


| no. | E_form (eV/atom) | electronic total energy (eV/cell) |
| --- | --- | --- |
| 1 | 1.716 | -222.452 |
| 2 | 0.740 | -203.319 |